No. 1
Ba2HgGe2: optimized geometry, GGA-PBE.

abc: 4.1466 17.3890 4.6357
angles: 90.00 90.00 90.00
With the nearest neighbours (Å) after each atom.
Positions (direct):
Ba1 0.0000 0.1313 0.0000  6 Ge 3.38-3.64
Ba2 0.0000 0.8687 0.0000  6 Ge 3.38-3.64
Ba3 0.5000 0.3687 0.0000  6 Ge 3.38-3.64
Ba4 0.5000 0.6313 0.0000  6 Ge 3.38-3.64
Hg1 0.0000 0.5000 0.5000  2 Ge 3.60, 8 Ba 3.86
Hg2 0.5000 0.0000 0.5000  2 Ge 3.60, 8 Ba 3.86
Ge1 0.0000 0.2927 0.5000  2 Ge 2.55
Ge2 0.0000 0.7073 0.5000  2 Ge 2.55
Ge3 0.5000 0.2073 0.5000  2 Ge 2.55
Ge4 0.5000 0.7927 0.5000  2 Ge 2.55

Distance to the lowest polymorph of the same formula (meV per atom): 0

---

No. 2
BaHg4Ge: optimized geometry, GGA-PBE.

abc: 6.2221 6.2221 6.2221
angles: 60.00 60.00 60.00
With the nearest neighbours (Å) after each atom.
Positions (direct):
Ba1 0.0000 0.0000 0.0000  12 Hg 3.65, 4 Ge 3.81
Hg1 0.1276 0.6241 0.6241  6 Hg 3.09-3.13
Hg2 0.6241 0.1276 0.6241  6 Hg 3.09-3.13
Hg3 0.6241 0.6241 0.1276  6 Hg 3.09-3.13
Hg4 0.6241 0.6241 0.6241  6 Hg 3.09-3.13
Ge1 0.2500 0.2500 0.2500  12 Hg 3.65, 4 Ba 3.81

Calculated total energy (eV per atom): -1.40